Entry 1:
! Rb2NbFePd PBE optimized geometry; values from VASP
! - formation enthalpy at 0 K (eV per atom) = 1.43
&SYSTEM
  ibrav = 0, nat = 5, ntyp = 4
/
ATOMIC_SPECIES
Rb 85.47 Rb.upf
Nb 92.91 Nb.upf
Fe 55.84 Fe.upf
Pd 106.42 Pd.upf
ATOMIC_POSITIONS crystal
Rb 0.0000 0.5000 0.0000
Rb 0.5000 0.0000 0.0000
Nb 0.0000 0.0000 0.5000
Fe 0.0000 0.0000 0.0000
Pd 0.5000 0.5000 0.5000
CELL_PARAMETERS angstrom
6.5901 0.0000 0.0000
0.0000 6.5901 0.0000
0.0000 0.0000 4.2598


Entry 2:
! Ba2CoNi PBE optimized geometry; values from VASP
! - formation enthalpy at 0 K (eV per atom) = 0.74
! - relative energy among the computed polymorphs (meV/atom) = 543
&SYSTEM
  ibrav = 0, nat = 4, ntyp = 3
/
ATOMIC_SPECIES
Ba 137.33 Ba.upf
Co 58.93 Co.upf
Ni 58.69 Ni.upf
ATOMIC_POSITIONS crystal
Ba 0.0000 0.0000 0.0000
Ba 0.2500 0.2500 0.2500
Co 0.7500 0.7500 0.7500
Ni 0.5000 0.5000 0.5000
CELL_PARAMETERS angstrom
0.0000 3.7060 3.7060
3.7060 0.0000 3.7060
3.7060 3.7060 0.0000